Cs2AcSiSe4: optimized geometry, GGA-PBE.

Cell: 7.667 7.667 7.667 Å, 116.51 116.51 96.17°
Element x y z (fractional)
Cs  0.000  0.000  0.000
Cs  0.750  0.250  0.500
Ac  0.500  0.500  0.000
Si  0.250  0.750  0.500
Se  0.211  0.077  0.557
Se  0.346  0.789  0.865
Se  0.520  0.654  0.443
Se  0.923  0.480  0.135

SG ... I-4
DOS(E_F) ... 3.84 states/eV/f.u.
ΔE_f (raw) ... -1.04 eV per atom